This record from Alexandria describes an optimized crystal structure of HfPtSe2Br. The functional is PBE-GGA.

As for the uncorrected formation energy: 0.133 eV/atom. For the distance to the lowest polymorph of the same formula, the calculation gives 0.00 eV/f.u. As for the space group: P4/mmm, No. 123.

Lattice parameters (Å, degrees): 5.1684 5.1684 5.1003 90.00 90.00 90.00
Closest atoms and distances in Å follow each position.
Sites, in units of the cell vectors:
Br  0.0000  0.0000  0.5000  2 Hf 2.55
Se  0.0000  0.5000  0.0000  2 Hf 2.58
Se  0.5000  0.0000  0.0000  2 Hf 2.58
Hf  0.0000  0.0000  0.0000  2 Br 2.55, 4 Se 2.58
Pt  0.5000  0.5000  0.5000  8 Se 3.63, 4 Br 3.65



This record from Alexandria describes an optimized crystal structure of HfPtSe2Br. The functional is PBE-GGA.

As for the uncorrected formation energy: 0.377 eV/atom. For the distance to the lowest polymorph of the same formula, the calculation gives 1.22 eV/f.u. As for the space group: P4/mmm, No. 123.

Lattice parameters (Å, degrees): 4.9611 4.9611 4.9183 90.00 90.00 90.00
Closest atoms and distances in Å follow each position.
Sites, in units of the cell vectors:
Pt  0.0000  0.0000  0.0000  2 Br 2.46, 4 Se 2.48
Br  0.0000  0.0000  0.5000  2 Pt 2.46
Se  0.0000  0.5000  0.0000  2 Pt 2.48
Se  0.5000  0.0000  0.0000  2 Pt 2.48
Hf  0.5000  0.5000  0.5000  8 Se 3.49, 4 Br 3.51



This record from Alexandria describes an optimized crystal structure of PuHfBr. The functional is PBE-GGA.

As for the uncorrected formation energy: -0.179 eV/atom. As for the space group: Pca2_1, No. 29.

Lattice parameters (Å, degrees): 4.7250 4.7768 12.3917 90.00 90.00 90.00
Closest atoms and distances in Å follow each position.
Sites, in units of the cell vectors:
Hf  0.3725  0.5141  0.2165  4 Br 2.90-2.97, 3 Pu 2.90-3.20
Hf  0.8725  0.9859  0.2165  4 Br 2.90-2.97, 3 Pu 2.90-3.20
Hf  0.3725  0.0141  0.7835  4 Br 2.90-2.97, 3 Pu 2.90-3.20
Hf  0.8725  0.4859  0.7835  4 Br 2.90-2.97, 3 Pu 2.90-3.20
Pu  0.9904  0.3387  0.0311  4 Pu 2.51
Pu  0.4904  0.6613  0.9689  4 Pu 2.51
Pu  0.4904  0.1613  0.0311  4 Pu 2.51
Pu  0.9904  0.8387  0.9689  4 Pu 2.51
Br  0.8661  0.4925  0.3550  4 Hf 2.90-2.97
Br  0.3661  0.5075  0.6450  4 Hf 2.90-2.97
Br  0.3661  0.0075  0.3550  4 Hf 2.90-2.97
Br  0.8661  0.9925  0.6450  4 Hf 2.90-2.97



This record from Alexandria describes an optimized crystal structure of PuHfBr6. The functional is PBE-GGA.

As for the uncorrected formation energy: -1.397 eV/atom. As for the space group: C2/m, No. 12.

Lattice parameters (Å, degrees): 6.8903 7.3708 7.3708 123.85 98.30 98.30
Closest atoms and distances in Å follow each position.
Sites, in units of the cell vectors:
Hf  0.5000  0.5000  0.5000  6 Br 2.63-2.66
Br  0.7298  0.8700  0.5755  1 Hf 2.66, 1 Pu 2.94
Br  0.2694  0.7396  0.7396  1 Hf 2.63
Br  0.7298  0.5755  0.8700  1 Hf 2.66, 1 Pu 2.94
Br  0.2702  0.4245  0.1300  1 Hf 2.66, 1 Pu 2.94
Br  0.7306  0.2604  0.2604  1 Hf 2.63
Br  0.2702  0.1300  0.4245  1 Hf 2.66, 1 Pu 2.94
Pu  0.0000  0.0000  0.0000  6 Br 2.94-2.96



This record from Alexandria describes an optimized crystal structure of RbHf2Br. The functional is PBE-GGA.

As for the uncorrected formation energy: 1.350 eV/atom. For the distance to the lowest polymorph of the same formula, the calculation gives 2.00 eV/f.u. As for the space group: Fm-3m, No. 225.

Lattice parameters (Å, degrees): 5.3277 5.3277 5.3277 60.00 60.00 60.00
Closest atoms and distances in Å follow each position.
Sites, in units of the cell vectors:
Hf  0.7500  0.7500  0.7500  4 Br 3.26, 4 Rb 3.26
Hf  0.2500  0.2500  0.2500  4 Br 3.26, 4 Rb 3.26
Br  0.0000  0.0000  0.0000  8 Hf 3.26
Rb  0.5000  0.5000  0.5000  8 Hf 3.26



This record from Alexandria describes an optimized crystal structure of RbHf3Br. The functional is PBE-GGA.

As for the uncorrected formation energy: 1.031 eV/atom. For the distance to the lowest polymorph of the same formula, the calculation gives 0.00 eV/f.u. As for the space group: Pm-3m, No. 221.

Lattice parameters (Å, degrees): 5.1692 5.1692 5.1692 90.00 90.00 90.00
Closest atoms and distances in Å follow each position.
Sites, in units of the cell vectors:
Hf  0.5000  0.0000  0.0000  2 Br 2.58
Hf  0.0000  0.5000  0.0000  2 Br 2.58
Hf  0.0000  0.0000  0.5000  2 Br 2.58
Br  0.0000  0.0000  0.0000  6 Hf 2.58
Rb  0.5000  0.5000  0.5000  12 Hf 3.66



Magnetization across the listed records, respectively: 0.58 0.00 2.66 6.00 0.00 0.00 μB per cell.
Fermi-level density of states across the listed records, respectively: 6.536 5.080 4.521 16.751 2.325 1.847 states/eV/f.u..